LiYPt2: relaxed, GGA-PBEsol.

POSCAR file:
```
LiYPt2
1.0
4.1844 0.0000 0.0000
0.0000 4.1844 0.0000
0.0000 0.0000 3.8257
Li Y Pt
1 1 2
Cartesian
0.0000 0.0000 0.0000
2.0922 2.0922 0.0000
0.0000 2.0922 1.9129
2.0922 0.0000 1.9129
```

Computed properties:
As for the space-group type: P4/mmm (123). Its magnetization is 0.0 μB/f.u. The density of states at the Fermi level comes out at 0.957 states/eV/cell. The calculation puts the energy of formation at -0.89 eV per atom. As for the total energy: -6.567 eV per atom.

SrRuN2O: relaxed, GGA-PBEsol.

POSCAR file:
```
SrRuN2O
1.0
4.3508 0.0000 0.0000
0.0000 4.3508 0.0000
0.0000 0.0000 4.3257
Sr Ru N O
1 1 2 1
Cartesian
0.0000 0.0000 0.0000
2.1754 2.1754 2.1629
0.0000 2.1754 0.0000
2.1754 0.0000 0.0000
0.0000 0.0000 2.1629
```

Computed properties:
As for the space-group type: P4/mmm (123). Its magnetization is 6.4 μB/f.u. The density of states at the Fermi level comes out at 4.174 states/eV/cell. As for the total energy: -4.681 eV per atom.

HfScAsSe2: relaxed, GGA-PBEsol.

POSCAR file:
```
HfScAsSe2
1.0
4.8850 0.0000 0.0000
0.0000 4.8850 0.0000
0.0000 0.0000 5.0229
Hf Sc As Se
1 1 1 2
Cartesian
0.0000 0.0000 0.0000
2.4425 2.4425 2.5114
2.4425 2.4425 0.0000
0.0000 2.4425 2.5114
2.4425 0.0000 2.5114
```

Computed properties:
As for the space-group type: P4/mmm (123). Its magnetization is 0.0 μB/f.u. The density of states at the Fermi level comes out at 2.850 states/eV/cell. As for the total energy: -6.041 eV per atom.

YCoAu2: relaxed, GGA-PBEsol.

POSCAR file:
```
YCoAu2
1.0
3.3974 0.0000 0.0000
0.0000 4.4046 0.0000
-0.0094 0.0000 5.1767
Y Co Au
1 1 2
Cartesian
0.0000 0.0000 0.0000
1.6874 2.2023 3.8840
1.6903 0.0000 2.7497
1.6991 2.2023 1.2174
```

Computed properties:
As for the space-group type: Pm (6). Its magnetization is 1.1 μB/f.u. The density of states at the Fermi level comes out at 3.986 states/eV/cell. The calculation puts the energy of formation at -0.20 eV per atom. As for the total energy: -5.802 eV per atom.

InP2Cl: relaxed, GGA-PBEsol.

POSCAR file:
```
InP2Cl
1.0
4.4275 0.0000 0.0000
0.0000 3.9778 0.0000
-1.9340 0.0000 5.0295
In P Cl
1 2 1
Cartesian
0.0000 0.0000 0.0000
1.5456 1.9889 0.7914
0.9479 1.9889 4.2382
-0.9670 0.0000 2.5148
```

Computed properties:
As for the space-group type: P2/m (10). Its magnetization is 0.0 μB/f.u. The density of states at the Fermi level comes out at 1.197 states/eV/cell. The excess energy over the best structure of this formula in the dataset is 0.112 eV per atom. As for the total energy: -4.256 eV per atom.

TlOs3Au: relaxed, GGA-PBEsol.

POSCAR file:
```
TlOs3Au
1.0
4.8182 0.0000 0.0000
0.0000 4.8182 0.0000
0.0000 0.0000 4.8182
Tl Os Au
1 3 1
Cartesian
0.0000 0.0000 0.0000
0.0000 2.4091 2.4091
2.4091 0.0000 2.4091
2.4091 2.4091 0.0000
2.4091 2.4091 2.4091
```

Computed properties:
As for the space-group type: Pm-3m (221). Its magnetization is 4.8 μB/f.u. The density of states at the Fermi level comes out at 5.777 states/eV/cell. The calculation puts the energy of formation at 2.91 eV per atom. As for the total energy: -5.726 eV per atom.

KAgPt2: relaxed, GGA-PBEsol.

POSCAR file:
```
KAgPt2
1.0
1.4096 0.8139 10.0517
-1.4096 0.8139 10.0517
0.0000 -1.6277 10.0517
K Ag Pt
1 1 2
Cartesian
0.0000 0.0000 0.0000
0.0000 0.0000 15.0776
0.0000 0.0000 7.3423
0.0000 0.0000 22.8128
```

Computed properties:
As for the space-group type: R-3m (166). Its magnetization is 0.0 μB/f.u. The density of states at the Fermi level comes out at 1.661 states/eV/cell. The calculation puts the energy of formation at 0.17 eV per atom. As for the total energy: -4.424 eV per atom.

NaZn2Sn2: relaxed, GGA-PBEsol.

POSCAR file:
```
NaZn2Sn2
1.0
7.9201 0.0000 0.0000
0.0000 7.9201 0.0000
0.0000 0.0000 3.4274
Na Zn Sn
2 4 4
Cartesian
0.0000 0.0000 0.0000
3.9600 3.9600 0.0000
0.9476 3.0124 0.0000
3.0124 6.9725 0.0000
4.9077 0.9476 0.0000
6.9725 4.9077 0.0000
1.3903 5.3503 1.7137
2.5698 1.3903 1.7137
5.3503 6.5298 1.7137
6.5298 2.5698 1.7137
```

Computed properties:
As for the space-group type: P4/mbm (127). Its magnetization is 0.0 μB/f.u. The density of states at the Fermi level comes out at 3.642 states/eV/cell. The excess energy over the best structure of this formula in the dataset is 0.056 eV per atom. The calculation puts the energy of formation at 0.00 eV per atom. As for the total energy: -2.617 eV per atom.

LiTe4Pt: relaxed, GGA-PBEsol.

POSCAR file:
```
LiTe4Pt
1.0
0.0000 4.3239 4.3239
4.3239 0.0000 4.3239
4.3239 4.3239 0.0000
Li Te Pt
1 4 1
Cartesian
0.0000 0.0000 0.0000
3.2537 3.2537 3.2537
5.3941 5.3941 3.2537
5.3941 3.2537 5.3941
3.2537 5.3941 5.3941
6.4858 6.4858 6.4858
```

Computed properties:
As for the space-group type: F-43m (216). Its magnetization is 0.0 μB/f.u. The density of states at the Fermi level comes out at 3.820 states/eV/cell. As for the total energy: -3.293 eV per atom.

SrAlCr2: relaxed, GGA-PBEsol.

POSCAR file:
```
SrAlCr2
1.0
4.4996 0.0000 0.0000
0.0000 4.4996 0.0000
0.0000 0.0000 4.0231
Sr Al Cr
1 1 2
Cartesian
0.0000 0.0000 0.0000
2.2498 2.2498 0.0000
0.0000 2.2498 2.0115
2.2498 0.0000 2.0115
```

Computed properties:
As for the space-group type: P4/mmm (123). Its magnetization is 7.3 μB/f.u. The density of states at the Fermi level comes out at 2.843 states/eV/cell. The calculation puts the energy of formation at 0.88 eV per atom. As for the total energy: -5.721 eV per atom.

TlZnFe2: relaxed, GGA-PBEsol.

POSCAR file:
```
TlZnFe2
1.0
-1.9063 1.9063 3.9585
1.9063 -1.9063 3.9585
1.9063 1.9063 -3.9585
Tl Zn Fe
1 1 2
Cartesian
0.0000 0.0000 0.0000
0.0000 0.0000 3.9585
1.9063 0.0000 1.9793
0.0000 1.9063 1.9793
```

Computed properties:
As for the space-group type: I4/mmm (139). Its magnetization is 4.8 μB/f.u. The density of states at the Fermi level comes out at 3.200 states/eV/cell. The excess energy over the best structure of this formula in the dataset is 0.000 eV per atom. The calculation puts the energy of formation at 0.39 eV per atom. As for the total energy: -5.143 eV per atom.

Zr2VRe3: relaxed, GGA-PBEsol.

POSCAR file:
```
Zr2VRe3
1.0
5.2708 0.0000 0.0000
-2.6354 4.5646 0.0000
0.0000 0.0000 8.3778
Zr V Re
4 2 6
Cartesian
0.0000 3.0431 0.5229
0.0000 3.0431 3.6660
2.6354 1.5215 4.7118
2.6354 1.5215 7.8549
0.0000 0.0000 0.0000
0.0000 0.0000 4.1889
0.0000 1.5422 6.2834
-1.2998 3.7936 6.2834
1.3356 0.7711 2.0945
1.2998 3.7936 6.2834
3.9352 0.7711 2.0945
2.6354 3.0225 2.0945
```

Computed properties:
As for the space-group type: P6_3/mmc (194). Its magnetization is 0.0 μB/f.u. The density of states at the Fermi level comes out at 9.572 states/eV/cell. The calculation puts the energy of formation at -0.37 eV per atom. As for the total energy: -11.676 eV per atom.

Na5Te2H36AuO28: relaxed, GGA-PBEsol.

POSCAR file:
```
Na5Te2H36AuO28
1.0
5.8689 0.0000 0.0000
-0.5329 8.8105 0.0000
-1.8032 -2.0283 12.2229
Na Te H Au O
5 2 36 1 28
Cartesian
0.0000 0.0000 0.0000
1.4915 1.5836 2.2186
1.0834 1.9694 5.5642
2.4495 4.8128 6.6587
2.0414 5.1986 10.0043
-0.3415 0.7985 8.5375
3.8743 5.9837 3.6854
-0.3110 5.9429 0.1895
-1.2817 6.6651 9.3290
-0.0924 3.6336 3.5565
0.1578 5.8127 2.3324
-0.3480 4.6173 6.2480
-0.9610 5.4030 10.2836
-0.1681 3.5451 7.4451
-0.5570 0.5140 11.5122
0.6583 7.7517 1.9742
1.0735 4.1630 0.8162
-0.2234 3.4528 9.9582
1.1538 -0.6304 4.0297
-0.1920 3.7936 11.5404
1.4085 4.0086 3.9000
1.3211 6.0419 3.9738
1.9582 5.4633 1.4060
0.8796 7.0489 7.9007
2.1197 7.6907 1.4886
1.4132 -0.9085 10.7343
2.6533 -0.2667 4.3222
1.5747 1.3189 10.8169
2.2118 0.7403 8.2491
2.1243 2.7737 8.3229
3.7249 2.9886 0.6825
2.3791 7.4126 8.1932
3.7563 3.3294 2.2646
2.4594 2.6192 11.4067
2.8746 -0.9695 10.2487
4.0898 6.2682 0.7107
3.7010 3.2371 4.7778
4.4938 1.3792 1.9392
3.8808 2.1649 5.9749
3.3750 0.9695 9.8905
3.6253 3.1486 8.6664
4.8146 0.1171 2.8939
3.8439 0.8393 12.0334
-0.9016 -1.0142 6.1114
-0.9873 0.8903 6.6638
-1.6265 6.1416 10.0980
-0.1113 6.4551 3.0629
-0.7107 2.6209 8.7453
0.6730 2.5822 0.1371
-0.2063 -1.1218 7.9823
1.0892 5.1610 0.9501
0.2834 3.9686 6.6556
0.8387 3.2482 3.6150
0.0374 4.1624 10.6481
1.2733 8.1979 1.3384
0.3779 0.4409 10.2428
1.7311 0.1207 4.2828
1.4493 1.2024 7.7883
2.0836 5.5798 4.4346
1.8018 6.6615 7.9401
3.1550 6.3413 1.9801
2.2596 -1.4157 10.8845
3.4955 2.6198 1.5748
2.6942 3.5340 8.6079
3.2495 2.8136 5.5673
2.4436 1.6212 11.2728
3.7391 7.9040 4.2406
2.8598 4.2000 12.0858
4.2435 4.1613 3.4776
3.6441 0.3271 9.1599
5.1594 0.6406 2.1249
4.5201 5.8919 5.5591
```

Computed properties:
As for the space-group type: P-1 (2). Its magnetization is 0.0 μB/f.u. The density of states at the Fermi level comes out at 0.000 states/eV/cell. As for the total energy: -5.068 eV per atom.

MnPbCl: relaxed, GGA-PBEsol.

POSCAR file:
```
MnPbCl
1.0
0.0000 2.7580 7.1590
1.7852 0.0000 7.1590
1.7852 2.7580 0.0000
Mn Pb Cl
1 1 1
Cartesian
0.0000 0.0000 0.0000
1.7852 2.7580 9.4411
1.7852 2.7580 5.6034
```

Computed properties:
As for the space-group type: Fmm2 (42). Its magnetization is 4.1 μB/f.u. The density of states at the Fermi level comes out at 1.354 states/eV/cell. As for the total energy: -5.327 eV per atom.

Sc3Tl: relaxed, GGA-PBEsol.

POSCAR file:
```
Sc3Tl
1.0
5.6118 0.0000 0.0000
0.0000 5.6118 0.0000
0.0000 0.0000 5.6118
Sc Tl
6 2
Cartesian
0.0000 1.4029 2.8059
0.0000 4.2088 2.8059
1.4029 2.8059 0.0000
2.8059 0.0000 1.4029
2.8059 0.0000 4.2088
4.2088 2.8059 0.0000
0.0000 0.0000 0.0000
2.8059 2.8059 2.8059
```

Computed properties:
As for the space-group type: Pm-3n (223). Its magnetization is 0.8 μB/f.u. The density of states at the Fermi level comes out at 10.735 states/eV/cell. The calculation puts the energy of formation at -0.22 eV per atom. As for the total energy: -5.835 eV per atom.

TlBr2Cl: relaxed, GGA-PBEsol.

POSCAR file:
```
TlBr2Cl
1.0
6.0464 0.0000 0.0000
0.0000 3.7468 0.0000
-2.5307 0.0000 5.7617
Tl Br Cl
1 2 1
Cartesian
0.0000 0.0000 0.0000
2.2197 0.0000 3.5832
4.9950 1.8734 1.6901
-0.7144 1.8734 5.4352
```

Computed properties:
As for the space-group type: Pm (6). Its magnetization is 0.0 μB/f.u. The excess energy over the best structure of this formula in the dataset is 0.000 eV per atom. As for the total energy: -2.537 eV per atom.

SrHgIr: relaxed, GGA-PBEsol.

POSCAR file:
```
SrHgIr
1.0
3.3934 0.0000 0.0000
-1.6967 2.9387 0.0000
0.0000 0.0000 6.8478
Sr Hg Ir
1 1 1
Cartesian
0.0000 0.0000 0.0000
0.0000 1.9592 4.1912
1.6967 0.9796 2.1678
```

Computed properties:
As for the space-group type: P3m1 (156). Its magnetization is 0.0 μB/f.u. The density of states at the Fermi level comes out at 1.310 states/eV/cell. The calculation puts the energy of formation at 0.40 eV per atom. As for the total energy: -3.678 eV per atom.

Ca2NiHg: relaxed, GGA-PBEsol.

POSCAR file:
```
Ca2NiHg
1.0
4.3431 0.0000 0.0000
0.0000 2.0623 5.4290
0.0000 -2.0623 5.4290
Ca Ni Hg
2 1 1
Cartesian
0.0000 0.0000 0.0000
2.1715 0.0000 3.1326
0.0000 0.0000 7.7298
2.1715 0.0000 6.2931
```

Computed properties:
As for the space-group type: Amm2 (38). Its magnetization is 0.0 μB/f.u. The density of states at the Fermi level comes out at 2.125 states/eV/cell. The calculation puts the energy of formation at -0.28 eV per atom. As for the total energy: -3.028 eV per atom.

NaPH2Pt: relaxed, GGA-PBEsol.

POSCAR file:
```
NaPH2Pt
1.0
3.4750 0.0000 0.0000
0.0000 3.4750 0.0000
0.0000 0.0000 6.1198
Na P H Pt
1 1 2 1
Cartesian
0.0000 0.0000 0.0000
1.7375 1.7375 3.0599
0.0000 1.7375 0.0000
1.7375 0.0000 0.0000
0.0000 0.0000 3.0599
```

Computed properties:
As for the space-group type: P4/mmm (123). Its magnetization is 1.0 μB/f.u. The density of states at the Fermi level comes out at 2.175 states/eV/cell. As for the total energy: -3.281 eV per atom.

CaTaAs2: relaxed, GGA-PBEsol.

POSCAR file:
```
CaTaAs2
1.0
1.8669 1.0778 6.8010
-1.8669 1.0778 6.8010
0.0000 -2.1557 6.8010
Ca Ta As
1 1 2
Cartesian
0.0000 0.0000 0.0000
0.0000 0.0000 10.2015
0.0000 0.0000 4.9072
0.0000 0.0000 15.4957
```

Computed properties:
As for the space-group type: R-3m (166). Its magnetization is 0.0 μB/f.u. The density of states at the Fermi level comes out at 2.065 states/eV/cell. The excess energy over the best structure of this formula in the dataset is 0.000 eV per atom. The calculation puts the energy of formation at -0.76 eV per atom. As for the total energy: -6.980 eV per atom.

MgAl2Os: relaxed, GGA-PBEsol.

POSCAR file:
```
MgAl2Os
1.0
-1.9957 1.9957 3.7199
1.9957 -1.9957 3.7199
1.9957 1.9957 -3.7199
Mg Al Os
1 2 1
Cartesian
0.0000 0.0000 0.0000
1.9957 0.0000 1.8600
0.0000 1.9957 1.8600
0.0000 0.0000 3.7199
```

Computed properties:
As for the space-group type: I4/mmm (139). Its magnetization is 0.0 μB/f.u. The density of states at the Fermi level comes out at 1.687 states/eV/cell. The excess energy over the best structure of this formula in the dataset is 0.000 eV per atom. The calculation puts the energy of formation at -0.21 eV per atom. As for the total energy: -5.738 eV per atom.

InCu2Au2: relaxed, GGA-PBEsol.

POSCAR file:
```
InCu2Au2
1.0
7.2668 0.0000 0.0000
0.0000 7.2668 0.0000
0.0000 0.0000 3.0514
In Cu Au
2 4 4
Cartesian
0.0000 0.0000 0.0000
3.6334 3.6334 0.0000
1.1467 2.4866 1.5257
2.4866 6.1200 1.5257
4.7801 1.1467 1.5257
6.1200 4.7801 1.5257
1.0049 4.6383 0.0000
2.6285 1.0049 0.0000
4.6383 6.2619 0.0000
6.2619 2.6285 0.0000
```

Computed properties:
As for the space-group type: P4/mbm (127). Its magnetization is 0.0 μB/f.u. The density of states at the Fermi level comes out at 2.978 states/eV/cell. The calculation puts the energy of formation at -0.03 eV per atom. As for the total energy: -3.932 eV per atom.

LaAlRu2: relaxed, GGA-PBEsol.

POSCAR file:
```
LaAlRu2
1.0
-1.5402 2.2937 4.9745
1.5402 -2.2937 4.9745
1.5402 2.2937 -4.9745
La Al Ru
1 1 2
Cartesian
0.0000 0.0000 0.0000
0.0000 2.2937 2.1698
1.5402 0.0000 2.6722
0.0000 0.0000 4.8741
```

Computed properties:
As for the space-group type: Imm2 (44). Its magnetization is 0.0 μB/f.u. The density of states at the Fermi level comes out at 2.099 states/eV/cell. The calculation puts the energy of formation at -0.01 eV per atom. As for the total energy: -7.459 eV per atom.

TlZnHg: relaxed, GGA-PBEsol.

POSCAR file:
```
TlZnHg
1.0
4.6317 0.0000 0.0000
-2.3159 4.0112 0.0000
0.0000 0.0000 3.6975
Tl Zn Hg
1 1 1
Cartesian
0.0000 0.0000 0.0000
0.0000 2.6741 1.8425
2.3159 1.3371 1.8506
```

Computed properties:
As for the space-group type: P3m1 (156). Its magnetization is 0.0 μB/f.u. The density of states at the Fermi level comes out at 1.414 states/eV/cell. The calculation puts the energy of formation at 0.10 eV per atom. As for the total energy: -1.489 eV per atom.

Cu2HgSe2: relaxed, GGA-PBEsol.

POSCAR file:
```
Cu2HgSe2
1.0
-1.8427 1.8427 7.0619
1.8427 -1.8427 7.0619
1.8427 1.8427 -7.0619
Cu Hg Se
2 1 2
Cartesian
1.8427 0.0000 3.5309
0.0000 1.8427 3.5309
0.0000 0.0000 0.0000
0.0000 0.0000 5.1108
0.0000 0.0000 9.0130
```

Computed properties:
As for the space-group type: I4/mmm (139). Its magnetization is 0.0 μB/f.u. The density of states at the Fermi level comes out at 2.523 states/eV/cell. As for the total energy: -3.443 eV per atom.